Density functional theory data (PBE-GGA) for a geometry-optimized Mn3GeI structure.

The structure in CIF format:
```
data_Mn3GeI
_space_group_name_H-M_alt 'P 1'
_space_group_IT_number 1
_space_group_name_Hall 'P 1'
_cell_length_a 5.1120
_cell_length_b 5.1120
_cell_length_c 5.1120
_cell_angle_alpha 90.00
_cell_angle_beta 90.00
_cell_angle_gamma 90.00
loop_
_atom_site_label
_atom_site_type_symbol
_atom_site_fract_x
_atom_site_fract_y
_atom_site_fract_z
Mn1 Mn 0.0000 0.0000 0.5000
Mn2 Mn 0.0000 0.5000 0.0000
Mn3 Mn 0.5000 0.0000 0.0000
Ge1 Ge 0.0000 0.0000 0.0000
I1 I 0.5000 0.5000 0.5000
```

Properties
Uncorrected formation energy in meV/atom: 690.4
Density in g/cm3: 4.53
M_tot in μB/cell: 14.00
Energy relative to the lowest polymorph listed for this composition in meV/atom: 0
Space-group type: Pm-3m, No. 221